one | Density functional theory data (GGA-PBEsol) for crystalline PRuSeO2 at its relaxed geometry.

Cell: 3.660 3.660 5.325 Å, 90.00 90.00 90.00°
Space group P4/mmm (No. 123)
Asymmetric unit:
P (0.000, 0.000, 0.000) x1
Ru (0.000, 0.000, 0.500) x1
Se (0.500, 0.500, 0.000) x1
O (0.000, 0.500, 0.500) x2

Computed properties:
Total magnetization ... 0.00 Bohr magnetons per cell
D(E_F) ... 1.6 states/eV/cell

two | Density functional theory data (GGA-PBEsol) for crystalline PRuSeO2 at its relaxed geometry.

Cell: 3.615 3.615 5.281 Å, 90.00 90.00 90.00°
Space group P4/mmm (No. 123)
Asymmetric unit:
P (0.000, 0.000, 0.000) x1
Ru (0.500, 0.500, 0.000) x1
Se (0.000, 0.000, 0.500) x1
O (0.000, 0.500, 0.500) x2

Computed properties:
Total magnetization ... 2.08 Bohr magnetons per cell
D(E_F) ... 6.6 states/eV/cell

The winner here is one, beating the second structure by 886 meV/atom.

one | Density functional theory data (GGA-PBEsol) for crystalline SbP2O7 at its relaxed geometry.

Cell: 4.999 8.395 7.195 Å, 90.00 108.40 90.00°
Space group P2_1 (No. 4)
Asymmetric unit:
Sb (0.217, 0.000, 0.226) x2
P (0.214, 0.731, 0.601) x2
P (0.397, 0.315, 0.013) x2
O (0.050, 0.193, 0.342) x2
O (0.125, 0.831, 0.414) x2
O (0.184, 0.452, 0.974) x2
O (0.268, 0.148, 0.004) x2
O (0.383, 0.582, 0.587) x2
O (0.411, 0.848, 0.765) x2
O (0.415, 0.816, 0.118) x2

Computed properties:
Total magnetization ... 0.00 Bohr magnetons per cell
D(E_F) ... 4.4 states/eV/cell

two | Density functional theory data (GGA-PBEsol) for crystalline SbP2O7 at its relaxed geometry.

Cell: 8.045 16.267 8.094 Å, 90.00 90.00 90.00°
Space group Pna2_1 (No. 33)
Asymmetric unit:
Sb (0.016, 0.129, 0.000) x4
Sb (0.018, 0.379, 0.521) x4
P (0.077, 0.570, 0.640) x4
P (0.107, 0.812, 0.895) x4
P (0.109, 0.326, 0.901) x4
P (0.125, 0.092, 0.618) x4
O (0.006, 0.324, 0.739) x4
O (0.024, 0.017, 0.646) x4
O (0.035, 0.427, 0.296) x4
O (0.048, 0.409, 0.992) x4
O (0.055, 0.145, 0.463) x4
O (0.059, 0.256, 0.013) x4
O (0.079, 0.718, 0.913) x4
O (0.125, 0.479, 0.609) x4
O (0.133, 0.836, 0.719) x4
O (0.142, 0.152, 0.761) x4
O (0.199, 0.569, 0.049) x4
O (0.208, 0.837, 0.368) x4
O (0.226, 0.625, 0.640) x4
O (0.247, 0.335, 0.509) x4

Computed properties:
Total magnetization ... 0.00 Bohr magnetons per cell
D(E_F) ... 0.0 states/eV/cell

The winner here is two, beating the second structure by 38 meV/atom.

one | Density functional theory data (GGA-PBEsol) for crystalline SbPO5 at its relaxed geometry.

Cell: 6.790 8.144 7.074 Å, 90.00 116.05 90.00°
Space group C2/c (No. 15)
Asymmetric unit:
Sb (0.000, 0.000, 0.000) x4
P (0.000, 0.330, 0.250) x4
O (0.000, 0.095, 0.750) x4
O (0.096, 0.221, 0.131) x8
O (0.183, 0.440, 0.407) x8

Computed properties:
Total magnetization ... 0.00 Bohr magnetons per cell
D(E_F) ... 0.0 states/eV/cell

two | Density functional theory data (GGA-PBEsol) for crystalline SbPO5 at its relaxed geometry.

Cell: 7.113 11.795 16.596 Å, 90.00 90.00 90.00°
Space group Fddd (No. 70, origin choice 2)
Asymmetric unit:
Sb (0.000, 0.000, 0.000) x16
P (0.125, 0.125, 0.410) x16
O (0.050, 0.364, 0.035) x32
O (0.109, 0.018, 0.355) x32
O (0.125, 0.125, 0.050) x16

Computed properties:
Total magnetization ... 0.00 Bohr magnetons per cell
D(E_F) ... 0.0 states/eV/cell

The winner here is one, beating the second structure by 40 meV/atom.

one | Density functional theory data (GGA-PBEsol) for crystalline ScP3O9 at its relaxed geometry.

Cell: 14.435 14.435 14.435 Å, 90.00 90.00 90.00°
Space group I-43d (No. 220)
Asymmetric unit:
Sc (0.104, 0.396, 0.604) x16
P (0.044, 0.376, 0.833) x48
O (0.014, 0.100, 0.178) x48
O (0.026, 0.137, 0.554) x48
O (0.063, 0.154, 0.843) x48

Computed properties:
Total magnetization ... 0.00 Bohr magnetons per cell
D(E_F) ... 0.0 states/eV/cell

two | Density functional theory data (GGA-PBEsol) for crystalline ScP3O9 at its relaxed geometry.

Cell: 13.614 19.637 9.755 Å, 90.00 127.02 90.00°
Space group Cc (No. 9)
Asymmetric unit:
Sc (0.000, 0.078, 0.000) x4
Sc (0.001, 0.411, 0.000) x4
Sc (0.483, 0.256, 0.964) x4
P (0.136, 0.196, 0.308) x4
P (0.137, 0.136, 0.819) x4
P (0.147, 0.471, 0.834) x4
P (0.226, 0.358, 0.705) x4
P (0.255, 0.311, 0.257) x4
P (0.263, 0.024, 0.774) x4
P (0.343, 0.137, 0.651) x4
P (0.349, 0.200, 0.149) x4
P (0.356, 0.469, 0.667) x4
O (0.031, 0.219, 0.304) x4
O (0.044, 0.105, 0.836) x4
O (0.055, 0.461, 0.869) x4
O (0.090, 0.170, 0.653) x4
O (0.106, 0.161, 0.150) x4
O (0.123, 0.473, 0.213) x4
O (0.130, 0.310, 0.571) x4
O (0.134, 0.334, 0.098) x4
O (0.145, 0.008, 0.132) x4
O (0.162, 0.400, 0.771) x4
O (0.216, 0.145, 0.466) x4
O (0.216, 0.190, 0.971) x4
O (0.232, 0.256, 0.359) x4
O (0.240, 0.081, 0.868) x4
O (0.252, 0.412, 0.607) x4
O (0.281, 0.478, 0.013) x4
O (0.322, 0.063, 0.696) x4
O (0.329, 0.271, 0.205) x4
O (0.342, 0.363, 0.384) x4
O (0.345, 0.329, 0.856) x4
O (0.355, 0.189, 0.773) x4
O (0.362, 0.020, 0.415) x4
O (0.377, 0.146, 0.276) x4
O (0.389, 0.499, 0.329) x4
O (0.442, 0.211, 0.117) x4
O (0.446, 0.133, 0.636) x4
O (0.460, 0.442, 0.671) x4

Computed properties:
Total magnetization ... 0.00 Bohr magnetons per cell
D(E_F) ... 0.0 states/eV/cell

The winner here is one, beating the second structure by 7 meV/atom.

one | Density functional theory data (GGA-PBEsol) for crystalline ScTcP2O at its relaxed geometry.

Cell: 4.738 4.738 3.634 Å, 90.00 90.00 90.00°
Space group P4/mmm (No. 123)
Asymmetric unit:
Sc (0.000, 0.000, 0.000) x1
Tc (0.500, 0.500, 0.500) x1
P (0.000, 0.500, 0.500) x2
O (0.500, 0.500, 0.000) x1

Computed properties:
Total magnetization ... 0.00 Bohr magnetons per cell
D(E_F) ... 4.3 states/eV/cell

two | Density functional theory data (GGA-PBEsol) for crystalline ScTcP2O at its relaxed geometry.

Cell: 4.919 4.919 3.760 Å, 90.00 90.00 90.00°
Space group P4/mmm (No. 123)
Asymmetric unit:
Sc (0.000, 0.000, 0.000) x1
Tc (0.500, 0.500, 0.500) x1
P (0.000, 0.500, 0.000) x2
O (0.000, 0.000, 0.500) x1

Computed properties:
Total magnetization ... 2.77 Bohr magnetons per cell
D(E_F) ... 3.7 states/eV/cell

The winner here is one, beating the second structure by 873 meV/atom.

one | Density functional theory data (GGA-PBEsol) for crystalline TlP2SeO at its relaxed geometry.

Cell: 4.915 4.915 3.740 Å, 90.00 90.00 90.00°
Space group P4/mmm (No. 123)
Asymmetric unit:
Tl (0.000, 0.000, 0.000) x1
P (0.000, 0.500, 0.500) x2
Se (0.500, 0.500, 0.500) x1
O (0.500, 0.500, 0.000) x1

Computed properties:
Total magnetization ... 0.00 Bohr magnetons per cell
D(E_F) ... 2.8 states/eV/cell

two | Density functional theory data (GGA-PBEsol) for crystalline TlP2SeO at its relaxed geometry.

Cell: 5.093 5.093 4.010 Å, 90.00 90.00 90.00°
Space group P4/mmm (No. 123)
Asymmetric unit:
Tl (0.000, 0.000, 0.000) x1
P (0.000, 0.500, 0.000) x2
Se (0.500, 0.500, 0.500) x1
O (0.000, 0.000, 0.500) x1

Computed properties:
Total magnetization ... 0.00 Bohr magnetons per cell
D(E_F) ... 3.2 states/eV/cell

The winner here is one, beating the second structure by 617 meV/atom.